# 1
This record from the Alexandria database describes a relaxed TlGa crystal. The functional is GGA-PBE.

Lattice parameters (Å, degrees): 5.9699 5.9699 5.9699 90.00 90.00 90.00
Last column: nearest neighbours and their distance in Å.
Space group Fm-3m (No. 225)
Asymmetric unit:
Tl  0.0000  0.0000  0.0000 (multiplicity 4)  6 Ga 2.98
Ga  0.0000  0.0000  0.5000 (multiplicity 4)  6 Tl 2.98

Output
formation energy = 18.3 kJ per mole of atoms
magnetic moment = 0.0000 μB/atom
calculated volume = 26.60 Å³/atom
Fermi-level density of states = 5.1 states/eV per cell
total energy = -2.5066 eV/atom

# 2
This record from the Alexandria database describes a relaxed Ca2ZrZn crystal. The functional is GGA-PBE.

Lattice parameters (Å, degrees): 6.6124 9.7204 3.3725 90.00 90.00 90.00
Last column: nearest neighbours and their distance in Å.
Space group Cmmm (No. 65)
Asymmetric unit:
Ca  0.2500  0.2500  0.0000 (multiplicity 4)  4 Ca 3.31-3.37, 4 Zr 3.39, 4 Zn 3.39
Zr  0.0000  0.0000  0.5000 (multiplicity 2)  2 Zn 3.31, 2 Zr 3.37, 8 Ca 3.39
Zn  0.0000  0.5000  0.5000 (multiplicity 2)  2 Zr 3.31, 2 Zn 3.37, 8 Ca 3.39

Output
formation energy = 25.1 kJ per mole of atoms
magnetic moment = 0.0733 μB/atom
calculated volume = 27.10 Å³/atom
Fermi-level density of states = 9.4 states/eV per cell
total energy = -3.1962 eV/atom

# 3
This record from the Alexandria database describes a relaxed Sm3SiIr2 crystal. The functional is GGA-PBE.

Lattice parameters (Å, degrees): 11.6250 4.0035 12.2248 90.00 90.00 90.00
Last column: nearest neighbours and their distance in Å.
Space group Pnma (No. 62)
Asymmetric unit:
Sm  0.0600  0.2500  0.1163 (multiplicity 4)  1 Si 3.06, 5 Ir 3.07-3.18
Sm  0.1288  0.7500  0.5534 (multiplicity 4)  5 Ir 3.03-3.14, 3 Si 3.11-3.13
Sm  0.1955  0.2500  0.8034 (multiplicity 4)  3 Ir 2.90-2.95, 2 Si 2.98
Si  0.1239  0.2500  0.3587 (multiplicity 4)  3 Ir 2.37-2.55
Ir  0.0246  0.7500  0.3160 (multiplicity 4)  2 Si 2.37
Ir  0.1935  0.7500  0.9747 (multiplicity 4)  1 Si 2.55

Output
magnetic moment = 0.0000 μB/atom
calculated volume = 23.71 Å³/atom
ΔE_f (raw) = -0.757 eV per atom
Fermi-level density of states = 16.9 states/eV per cell
total energy = -6.9736 eV/atom

# 4
This record from the Alexandria database describes a relaxed Dy5AuSe4 crystal. The functional is GGA-PBE.

Lattice parameters (Å, degrees): 13.8322 4.0371 10.1802 90.00 120.17 90.00
Last column: nearest neighbours and their distance in Å.
Space group C2/m (No. 12)
Asymmetric unit:
Dy  0.0000  0.0000  0.0000 (multiplicity 2)  6 Se 2.89
Dy  0.0985  0.5000  0.4011 (multiplicity 4)  2 Au 2.89, 4 Se 2.92-2.97
Dy  0.1965  0.0000  0.7964 (multiplicity 4)  1 Au 2.87, 5 Se 2.90-2.92
Au  0.0000  0.0000  0.5000 (multiplicity 2)  6 Dy 2.87-2.89
Se  0.1028  0.5000  0.9068 (multiplicity 4)  6 Dy 2.89-2.97
Se  0.1982  0.0000  0.2975 (multiplicity 4)  6 Dy 2.89-2.94

Output
magnetic moment = 0.0000 μB/atom
calculated volume = 24.58 Å³/atom
ΔE_f (raw) = -1.581 eV per atom
Fermi-level density of states = 9.2 states/eV per cell
total energy = -5.6035 eV/atom

# 5
This record from the Alexandria database describes a relaxed AlTlSn2H crystal. The functional is GGA-PBE.

Lattice parameters (Å, degrees): 5.7404 5.7404 3.3756 90.00 90.00 90.00
Last column: nearest neighbours and their distance in Å.
Space group P4/mmm (No. 123)
Asymmetric unit:
Al  0.0000  0.0000  0.0000 (multiplicity 1)  2 H 1.69
Tl  0.5000  0.5000  0.5000 (multiplicity 1)  8 Sn 3.33, 2 Tl 3.38
Sn  0.0000  0.5000  0.0000 (multiplicity 2)  2 Al 2.87
H  0.0000  0.0000  0.5000 (multiplicity 1)  2 Al 1.69

Output
magnetic moment = 0.0000 μB/atom
calculated volume = 22.25 Å³/atom
Fermi-level density of states = 1.9 states/eV per cell
total energy = -3.3399 eV/atom

# 6
This record from the Alexandria database describes a relaxed PmZn8Pd4 crystal. The functional is GGA-PBE.

Lattice parameters (Å, degrees): 8.8241 8.8241 5.4842 90.00 90.00 90.00
Last column: nearest neighbours and their distance in Å.
Space group I4/mmm (No. 139)
Asymmetric unit:
Pm  0.0000  0.0000  0.0000 (multiplicity 2)  12 Zn 3.08-3.35, 8 Pd 3.41
Zn  0.0000  0.2182  0.5000 (multiplicity 8)  4 Pd 2.61, 4 Zn 2.72-2.82
Zn  0.0000  0.3492  0.0000 (multiplicity 8)  5 Zn 2.66-2.98, 4 Pd 2.74
Pd  0.2500  0.2500  0.2500 (multiplicity 8)  8 Zn 2.61-2.74, 2 Pd 2.74

Output
formation energy = -43.4 kJ per mole of atoms
magnetic moment = 0.0000 μB/atom
calculated volume = 16.42 Å³/atom
Fermi-level density of states = 13.2 states/eV per cell
total energy = -3.1973 eV/atom